1.
# MnInS2

Crystalline MnInS2 at its relaxed geometry (PBE, Alexandria).

Geometry as extended XYZ:
```
4
Lattice="1.7806 1.0280 7.2993 -1.7806 1.0280 7.2993 0.0000 -2.0560 7.2993" Properties=species:S:1:pos:R:3 pbc="T T T"
Mn 0.0000 0.0000 0.0000
In 0.0000 0.0000 3.6690
S 0.0000 0.0000 8.6478
S 0.0000 0.0000 13.2646
```

## Properties
N(E_F) in states/eV/cell: 1.449
SG: No. 160
VASP energy in eV per cell: -21.89
Density in g/cm3: 4.84
E_form (uncorrected) in eV/atom: -0.43


2.
# MnInS2

Crystalline MnInS2 at its relaxed geometry (PBE, Alexandria).

Geometry as extended XYZ:
```
8
Lattice="-2.9613 2.9613 5.6965 2.9613 -2.9613 5.6965 2.9613 2.9613 -5.6965" Properties=species:S:1:pos:R:3 pbc="T T T"
Mn 0.0000 0.0000 0.0000
Mn 0.0000 2.9613 2.8482
In 2.9613 0.0000 2.8482
In 0.0000 0.0000 5.6965
S 4.4420 1.2226 -1.4241
S 1.2226 1.4807 1.4241
S -1.4807 1.7387 4.2723
S 1.7387 1.4807 7.1206
```

## Properties
N(E_F) in states/eV/cell: 2.036
SG: No. 122
VASP energy in eV per cell: -43.66
Density in g/cm3: 3.89
E_form (uncorrected) in eV/atom: -0.42